Here is a relaxed TaCu2Ir crystal from Alexandria via LeMat-Bulk. Energies are from GGA-PBE.

Output
Its symmetry is Pm. As for the energy relative to the elements: -0.135 eV/atom. The total energy is -7.36 eV per atom. Its size of the total moment is 0.0 μB/f.u. The density of states at the Fermi level comes out at 0.478 states/eV per atom.

a b c (Å): 2.810 3.758 5.445
angles (deg): 90.00 90.11 90.00
Sites, in units of the cell vectors:
1 Ta 0.000 0.000 0.000
2 Cu 0.000 0.000 0.512
3 Cu 0.500 0.500 0.721
4 Ir 0.499 0.500 0.243